Record 1
Below is an optimized crystal structure of V6RhW, with properties calculated at the PBE level.

Cell and atoms, written as CIF:
```
data_V6RhW
_cell_length_a 6.035
_cell_length_b 8.598
_cell_length_c 4.249
_cell_angle_alpha 90.00
_cell_angle_beta 90.00
_cell_angle_gamma 90.00
_symmetry_space_group_name_H-M 'C m m m'
_symmetry_Int_Tables_number 65
_symmetry_space_group_name_Hall '-C 2 2'
loop_
_atom_site_label
_atom_site_fract_x
_atom_site_fract_y
_atom_site_fract_z
V1 0.000 0.249 0.000
V2 0.246 0.000 0.000
V3 0.250 0.250 0.500
Rh1 0.000 0.500 0.500
W1 0.000 0.000 0.500
```

Calculated values
The density of states at the Fermi level comes out at 14.1 states/eV/cell. As for the electronic total energy: -152.95 eV per cell. The magnetic moment comes out at 0.0 μB per cell.



Record 2
Below is an optimized crystal structure of Er3Zn4Pt4, with properties calculated at the PBE level.

Cell and atoms, written as CIF:
```
data_Er3Zn4Pt4
_cell_length_a 3.965
_cell_length_b 7.481
_cell_length_c 14.052
_cell_angle_alpha 90.00
_cell_angle_beta 90.00
_cell_angle_gamma 90.00
_symmetry_space_group_name_H-M 'I m m m'
_symmetry_Int_Tables_number 71
_symmetry_space_group_name_Hall '-I 2 2'
loop_
_atom_site_label
_atom_site_fract_x
_atom_site_fract_y
_atom_site_fract_z
Er1 0.000 0.000 0.000
Er2 0.000 0.500 0.123
Zn1 0.000 0.301 0.326
Pt1 0.000 0.000 0.221
Pt2 0.000 0.195 0.500
```

Calculated values
The density of states at the Fermi level comes out at 10.4 states/eV/cell. As for the electronic total energy: -105.84 eV per cell. The magnetic moment comes out at 0.0 μB per cell.



Record 3
Below is an optimized crystal structure of Li2PmGa2Si2, with properties calculated at the PBE level.

Cell and atoms, written as CIF:
```
data_Li2PmGa2Si2
_cell_length_a 4.2606
_cell_length_b 4.2606
_cell_length_c 23.6071
_cell_angle_alpha 90.00
_cell_angle_beta 90.00
_cell_angle_gamma 120.00
_symmetry_space_group_name_H-M 'R -3 m'
_symmetry_Int_Tables_number 166
_symmetry_space_group_name_Hall '-R 3 2"'
loop_
_atom_site_label
_atom_site_fract_x
_atom_site_fract_y
_atom_site_fract_z
Li1 0.0000 0.0000 0.1433
Pm1 0.0000 0.0000 0.0000
Ga1 0.0000 0.0000 0.4389
Si1 0.0000 0.0000 0.2559
```

Calculated values
The density of states at the Fermi level comes out at 6.8 states/eV/cell. The value obtained for the uncorrected formation energy is -376 meV per atom. As for the electronic total energy: -84.34 eV per cell. The magnetic moment comes out at 0.0 μB per cell.



Record 4
Below is an optimized crystal structure of KBe2PbF8, with properties calculated at the PBE level.

Cell and atoms, written as CIF:
```
data_KBe2PbF8
_cell_length_a 5.0108
_cell_length_b 5.0108
_cell_length_c 24.2964
_cell_angle_alpha 90.00
_cell_angle_beta 90.00
_cell_angle_gamma 120.00
_symmetry_space_group_name_H-M 'R 3 2'
_symmetry_Int_Tables_number 155
_symmetry_space_group_name_Hall 'R 3 2"'
loop_
_atom_site_label
_atom_site_fract_x
_atom_site_fract_y
_atom_site_fract_z
K1 0.0000 0.0000 0.0000
Be1 0.0000 0.0000 0.2504
Pb1 0.0000 0.0000 0.5000
F1 0.0000 0.0000 0.3115
F2 0.0041 0.2971 0.7741
```

Calculated values
The density of states at the Fermi level comes out at 10.1 states/eV/cell. The value obtained for the uncorrected formation energy is -2763 meV per atom. As for the electronic total energy: -181.14 eV per cell. The magnetic moment comes out at 2.8 μB per cell.



Record 5
Below is an optimized crystal structure of Y4HgOs, with properties calculated at the PBE level.

Cell and atoms, written as CIF:
```
data_Y4HgOs
_cell_length_a 8.700
_cell_length_b 5.013
_cell_length_c 8.459
_cell_angle_alpha 90.00
_cell_angle_beta 109.96
_cell_angle_gamma 90.00
_symmetry_space_group_name_H-M 'C 1 2/m 1'
_symmetry_Int_Tables_number 12
_symmetry_space_group_name_Hall '-C 2y'
loop_
_atom_site_label
_atom_site_fract_x
_atom_site_fract_y
_atom_site_fract_z
Y1 0.117 0.000 0.349
Y2 0.134 0.500 0.901
Hg1 0.000 0.500 0.500
Os1 0.000 0.000 0.000
```

Calculated values
The density of states at the Fermi level comes out at 13.6 states/eV/cell. The calculation puts the energy above the lowest structure with this stoichiometry at 145 meV/atom. As for the electronic total energy: -77.05 eV per cell. The magnetic moment comes out at 0.0 μB per cell.



Record 6
Below is an optimized crystal structure of Sr2ZnH8, with properties calculated at the PBE level.

Cell and atoms, written as CIF:
```
data_Sr2ZnH8
_cell_length_a 12.651
_cell_length_b 4.283
_cell_length_c 5.211
_cell_angle_alpha 90.00
_cell_angle_beta 114.21
_cell_angle_gamma 90.00
_symmetry_space_group_name_H-M 'C 1 2/m 1'
_symmetry_Int_Tables_number 12
_symmetry_space_group_name_Hall '-C 2y'
loop_
_atom_site_label
_atom_site_fract_x
_atom_site_fract_y
_atom_site_fract_z
Sr1 0.197 0.000 0.197
Zn1 0.000 0.500 0.500
H1 0.034 0.000 0.535
H2 0.112 0.500 0.376
H3 0.112 0.500 0.849
H4 0.204 0.000 0.704
```

Calculated values
The density of states at the Fermi level comes out at 0.0 states/eV/cell. As for the electronic total energy: -66.37 eV per cell. The magnetic moment comes out at 0.0 μB per cell.



Record 7
Below is an optimized crystal structure of AsPdS3, with properties calculated at the PBE level.

Cell and atoms, written as CIF:
```
data_AsPdS3
_cell_length_a 4.662
_cell_length_b 4.662
_cell_length_c 4.662
_cell_angle_alpha 90.00
_cell_angle_beta 90.00
_cell_angle_gamma 90.00
_symmetry_space_group_name_H-M 'P m -3 m'
_symmetry_Int_Tables_number 221
_symmetry_space_group_name_Hall '-P 4 2 3'
loop_
_atom_site_label
_atom_site_fract_x
_atom_site_fract_y
_atom_site_fract_z
As1 0.000 0.000 0.000
Pd1 0.500 0.500 0.500
S1 0.000 0.500 0.500
```

Calculated values
The density of states at the Fermi level comes out at 3.8 states/eV/cell. The calculation puts the energy above the lowest structure with this stoichiometry at 689 meV/atom. The value obtained for the uncorrected formation energy is 668 meV per atom. As for the electronic total energy: -18.89 eV per cell. The magnetic moment comes out at 0.0 μB per cell.



Look up the magnetic moment of the fourth one.
2.8 μB per cell



What did the fifth record say?
Below is an optimized crystal structure of Y4HgOs, with properties calculated at the PBE level.

Cell and atoms, written as CIF:
```
data_Y4HgOs
_cell_length_a 8.700
_cell_length_b 5.013
_cell_length_c 8.459
_cell_angle_alpha 90.00
_cell_angle_beta 109.96
_cell_angle_gamma 90.00
_symmetry_space_group_name_H-M 'C 1 2/m 1'
_symmetry_Int_Tables_number 12
_symmetry_space_group_name_Hall '-C 2y'
loop_
_atom_site_label
_atom_site_fract_x
_atom_site_fract_y
_atom_site_fract_z
Y1 0.117 0.000 0.349
Y2 0.134 0.500 0.901
Hg1 0.000 0.500 0.500
Os1 0.000 0.000 0.000
```

Calculated values
The density of states at the Fermi level comes out at 13.6 states/eV/cell. The calculation puts the energy above the lowest structure with this stoichiometry at 145 meV/atom. As for the electronic total energy: -77.05 eV per cell. The magnetic moment comes out at 0.0 μB per cell.